# V2CrO4 | the Alexandria database | GGA+U | relaxed
data_V2CrO4
_cell_length_a 9.070
_cell_length_b 7.723
_cell_length_c 6.412
_cell_angle_alpha 90.00
_cell_angle_beta 134.95
_cell_angle_gamma 90.00
_symmetry_space_group_name_H-M 'C 1 2/c 1'
_symmetry_Int_Tables_number 15
_symmetry_space_group_name_Hall '-C 2yc'
loop_
_atom_site_label
_atom_site_fract_x
_atom_site_fract_y
_atom_site_fract_z
V1 0.000 0.000 0.000
V2 0.250 0.250 0.000
Cr1 0.000 0.376 0.250
O1 0.007 0.262 0.963
O2 0.206 0.012 0.449
# Offset from the most stable computed form ... 0.000 eV per atom